[1]
A plane-wave DFT calculation with GGA-PBE was carried out for a relaxed MnNbGa crystal.

* total magnetization: 1.40 μB/f.u.
* final energy: -7.526 eV per atom
* volume: 15.1 A^3/atom

Geometry as CIF:
```
data_MnNbGa
_chemical_formula_sum 'Mn1 Nb1 Ga1'
_cell_length_a 4.3318
_cell_length_b 4.3318
_cell_length_c 2.7823
_cell_angle_alpha 90.00
_cell_angle_beta 90.00
_cell_angle_gamma 120.00
_space_group_name_H-M_alt 'P 3 m 1'
_space_group_IT_number 156
_space_group_name_Hall 'P 3 -2"'
loop_
_atom_site_label
_atom_site_type_symbol
_atom_site_fract_x
_atom_site_fract_y
_atom_site_fract_z
Mn1 Mn 0.0000 0.0000 0.0000
Nb1 Nb 0.3333 0.6667 0.3398
Ga1 Ga 0.6667 0.3333 0.8124
```

=====

[2]
A plane-wave DFT calculation with GGA-PBE was carried out for a relaxed RbBaBr3 crystal.

* energy relative to the elements, uncorrected: -2021 meV per atom
* total magnetization: 0.00 μB/f.u.
* final energy: -3.602 eV per atom
* volume: 40.5 A^3/atom

Geometry as CIF:
```
data_RbBaBr3
_chemical_formula_sum 'Rb4 Ba4 Br12'
_cell_length_a 8.704
_cell_length_b 4.941
_cell_length_c 18.842
_cell_angle_alpha 90.00
_cell_angle_beta 90.00
_cell_angle_gamma 90.00
_space_group_name_H-M_alt 'P n m a'
_space_group_IT_number 62
_space_group_name_Hall '-P 2ac 2n'
loop_
_atom_site_label
_atom_site_type_symbol
_atom_site_fract_x
_atom_site_fract_y
_atom_site_fract_z
Rb1 Rb 0.133 0.250 0.206
Ba1 Ba 0.239 0.750 0.456
Br1 Br 0.013 0.250 0.407
Br2 Br 0.130 0.750 0.056
Br3 Br 0.163 0.250 0.791
```

=====

[3]
A plane-wave DFT calculation with GGA-PBE was carried out for a relaxed Ba8P3I4 crystal.

* energy relative to the elements, uncorrected: -1214 meV per atom
* total magnetization: 1.29 μB/f.u.
* final energy: -3.735 eV per atom
* volume: 47.5 A^3/atom

Geometry as CIF:
```
data_Ba8P3I4
_chemical_formula_sum 'Ba24 P9 I12'
_cell_length_a 9.5372
_cell_length_b 9.5372
_cell_length_c 27.1271
_cell_angle_alpha 90.00
_cell_angle_beta 90.00
_cell_angle_gamma 120.00
_space_group_name_H-M_alt 'R -3 m'
_space_group_IT_number 166
_space_group_name_Hall '-R 3 2"'
loop_
_atom_site_label
_atom_site_type_symbol
_atom_site_fract_x
_atom_site_fract_y
_atom_site_fract_z
Ba1 Ba 0.0000 0.0000 0.2256
Ba2 Ba 0.0264 0.5132 0.7680
P1 P 0.0000 0.5000 0.5000
I1 I 0.0000 0.0000 0.0000
I2 I 0.0000 0.0000 0.3538
I3 I 0.0000 0.0000 0.5000
```

=====

[4]
A plane-wave DFT calculation with GGA-PBE was carried out for a relaxed KSe crystal.

* energy relative to the elements, uncorrected: -573 meV per atom
* total magnetization: 0.00 μB/f.u.
* final energy: -2.864 eV per atom
* volume: 29.9 A^3/atom

Geometry as CIF:
```
data_KSe
_chemical_formula_sum 'K4 Se4'
_cell_length_a 4.688
_cell_length_b 4.688
_cell_length_c 10.884
_cell_angle_alpha 90.00
_cell_angle_beta 90.00
_cell_angle_gamma 90.00
_space_group_name_H-M_alt 'I 41/a m d'
_space_group_IT_number 141
loop_
_space_group_symop_operation_xyz
'x,y,z'
'-x,-y,-z'
'-y+1/4,x+3/4,z+1/4'
'y+1/4,-x+3/4,-z+1/4'
'-x+1/2,-y,z+1/2'
'x+1/2,y,-z+1/2'
'y+1/4,-x+1/4,z+3/4'
'-y+1/4,x+1/4,-z+3/4'
'x,-y,-z'
'-x,y,z'
'-y+1/4,-x+1/4,-z+3/4'
'y+1/4,x+1/4,z+3/4'
'-x+1/2,y,-z+1/2'
'x+1/2,-y,z+1/2'
'y+1/4,x+3/4,-z+1/4'
'-y+1/4,-x+3/4,z+1/4'
'x+1/2,y+1/2,z+1/2'
'-x+1/2,-y+1/2,-z+1/2'
'-y+3/4,x+1/4,z+3/4'
'y+3/4,-x+1/4,-z+3/4'
'-x,-y+1/2,z'
'x,y+1/2,-z'
'y+3/4,-x+3/4,z+1/4'
'-y+3/4,x+3/4,-z+1/4'
'x+1/2,-y+1/2,-z+1/2'
'-x+1/2,y+1/2,z+1/2'
'-y+3/4,-x+3/4,-z+1/4'
'y+3/4,x+3/4,z+1/4'
'-x,y+1/2,-z'
'x,-y+1/2,z'
'y+3/4,x+1/4,-z+3/4'
'-y+3/4,-x+1/4,z+3/4'
loop_
_atom_site_label
_atom_site_type_symbol
_atom_site_fract_x
_atom_site_fract_y
_atom_site_fract_z
K1 K 0.000 0.250 0.375
Se1 Se 0.000 0.250 0.875
```

=====

[5]
A plane-wave DFT calculation with GGA-PBE was carried out for a relaxed Cs2K2Hg4Pd crystal.

* total magnetization: 0.00 μB/f.u.
* final energy: -1.353 eV per atom
* volume: 40.8 A^3/atom

Geometry as CIF:
```
data_Cs2K2Hg4Pd
_chemical_formula_sum 'Cs4 K4 Hg8 Pd2'
_cell_length_a 8.548
_cell_length_b 8.548
_cell_length_c 10.044
_cell_angle_alpha 90.00
_cell_angle_beta 90.00
_cell_angle_gamma 90.00
_space_group_name_H-M_alt 'I 4/m m m'
_space_group_IT_number 139
_space_group_name_Hall '-I 4 2'
loop_
_atom_site_label
_atom_site_type_symbol
_atom_site_fract_x
_atom_site_fract_y
_atom_site_fract_z
Cs1 Cs 0.000 0.500 0.250
K1 K 0.000 0.000 0.185
Hg1 Hg 0.228 0.228 0.500
Pd1 Pd 0.000 0.000 0.500
```

=====

[6]
A plane-wave DFT calculation with GGA-PBE was carried out for a relaxed AlIr2Pb crystal.

* energy above the lowest structure with this stoichiometry: 80 kJ/mol of formula units
* total magnetization: 0.00 μB/f.u.
* final energy: -6.256 eV per atom
* volume: 17.0 A^3/atom

Geometry as CIF:
```
data_AlIr2Pb
_chemical_formula_sum 'Al2 Ir4 Pb2'
_cell_length_a 9.670
_cell_length_b 3.120
_cell_length_c 4.663
_cell_angle_alpha 90.00
_cell_angle_beta 104.95
_cell_angle_gamma 90.00
_space_group_name_H-M_alt 'C 1 m 1'
_space_group_IT_number 8
_space_group_name_Hall 'C -2y'
loop_
_atom_site_label
_atom_site_type_symbol
_atom_site_fract_x
_atom_site_fract_y
_atom_site_fract_z
Al1 Al 0.000 0.000 0.000
Ir1 Ir 0.224 0.500 0.082
Ir2 Ir 0.495 0.000 0.460
Pb1 Pb 0.243 0.000 0.603
```

=====

[7]
A plane-wave DFT calculation with GGA-PBE was carried out for a relaxed TiFeMoPt crystal.

* total magnetization: 2.83 μB/f.u.
* final energy: -8.562 eV per atom
* volume: 14.6 A^3/atom

Geometry as CIF:
```
data_TiFeMoPt
_chemical_formula_sum 'Ti4 Fe4 Mo4 Pt4'
_cell_length_a 6.165
_cell_length_b 6.165
_cell_length_c 6.165
_cell_angle_alpha 90.00
_cell_angle_beta 90.00
_cell_angle_gamma 90.00
_space_group_name_H-M_alt 'F -4 3 m'
_space_group_IT_number 216
_space_group_name_Hall 'F -4 2 3'
loop_
_atom_site_label
_atom_site_type_symbol
_atom_site_fract_x
_atom_site_fract_y
_atom_site_fract_z
Ti1 Ti 0.000 0.000 0.000
Fe1 Fe 0.000 0.000 0.500
Mo1 Mo 0.250 0.250 0.750
Pt1 Pt 0.250 0.250 0.250
```

=====

[8]
A plane-wave DFT calculation with GGA-PBE was carried out for a relaxed SrCa2Cr crystal.

* energy above the lowest structure with this stoichiometry: 47 kJ/mol of formula units
* total magnetization: 4.47 μB/f.u.
* final energy: -3.341 eV per atom
* volume: 38.1 A^3/atom

Geometry as CIF:
```
data_SrCa2Cr
_chemical_formula_sum 'Sr3 Ca6 Cr3'
_cell_length_a 3.9361
_cell_length_b 3.9361
_cell_length_c 34.1083
_cell_angle_alpha 90.00
_cell_angle_beta 90.00
_cell_angle_gamma 120.00
_space_group_name_H-M_alt 'R -3 m'
_space_group_IT_number 166
_space_group_name_Hall '-R 3 2"'
loop_
_atom_site_label
_atom_site_type_symbol
_atom_site_fract_x
_atom_site_fract_y
_atom_site_fract_z
Sr1 Sr 0.0000 0.0000 0.0000
Ca1 Ca 0.0000 0.0000 0.2324
Cr1 Cr 0.0000 0.0000 0.5000
```

=====

[9]
A plane-wave DFT calculation with GGA-PBE was carried out for a relaxed HoFe12B6 crystal.

* total magnetization: 18.28 μB/f.u.
* final energy: -7.981 eV per atom
* volume: 10.2 A^3/atom

Geometry as CIF:
```
data_HoFe12B6
_chemical_formula_sum 'Ho3 Fe36 B18'
_cell_length_a 9.5162
_cell_length_b 9.5162
_cell_length_c 7.4092
_cell_angle_alpha 90.00
_cell_angle_beta 90.00
_cell_angle_gamma 120.00
_space_group_name_H-M_alt 'R -3 m'
_space_group_IT_number 166
_space_group_name_Hall '-R 3 2"'
loop_
_atom_site_label
_atom_site_type_symbol
_atom_site_fract_x
_atom_site_fract_y
_atom_site_fract_z
Ho1 Ho 0.0000 0.0000 0.0000
Fe1 Fe 0.0000 0.3709 0.5000
Fe2 Fe 0.0890 0.1779 0.3631
B1 B 0.0253 0.5127 0.2796
```

=====

[10]
A plane-wave DFT calculation with GGA-PBE was carried out for a relaxed DySc6Cd crystal.

* total magnetization: 0.01 μB/f.u.
* final energy: -5.450 eV per atom
* volume: 24.6 A^3/atom

Geometry as CIF:
```
data_DySc6Cd
_chemical_formula_sum 'Dy1 Sc6 Cd1'
_cell_length_a 4.590
_cell_length_b 4.590
_cell_length_c 9.351
_cell_angle_alpha 90.00
_cell_angle_beta 90.00
_cell_angle_gamma 90.00
_space_group_name_H-M_alt 'P 4/m m m'
_space_group_IT_number 123
_space_group_name_Hall '-P 4 2'
loop_
_atom_site_label
_atom_site_type_symbol
_atom_site_fract_x
_atom_site_fract_y
_atom_site_fract_z
Dy1 Dy 0.000 0.000 0.000
Sc1 Sc 0.000 0.500 0.258
Sc2 Sc 0.500 0.500 0.000
Sc3 Sc 0.500 0.500 0.500
Cd1 Cd 0.000 0.000 0.500
```

=====

[11]
A plane-wave DFT calculation with GGA-PBE was carried out for a relaxed AlTlPd5 crystal.

* energy above the lowest structure with this stoichiometry: 0 kJ/mol of formula units
* total magnetization: 0.00 μB/f.u.
* final energy: -4.973 eV per atom
* volume: 16.9 A^3/atom

Geometry as CIF:
```
data_AlTlPd5
_chemical_formula_sum 'Al1 Tl1 Pd5'
_cell_length_a 4.149
_cell_length_b 4.149
_cell_length_c 6.862
_cell_angle_alpha 90.00
_cell_angle_beta 90.00
_cell_angle_gamma 90.00
_space_group_name_H-M_alt 'P 4/m m m'
_space_group_IT_number 123
_space_group_name_Hall '-P 4 2'
loop_
_atom_site_label
_atom_site_type_symbol
_atom_site_fract_x
_atom_site_fract_y
_atom_site_fract_z
Al1 Al 0.000 0.000 0.000
Tl1 Tl 0.500 0.500 0.500
Pd1 Pd 0.000 0.000 0.500
Pd2 Pd 0.000 0.500 0.209
```

=====

[12]
A plane-wave DFT calculation with GGA-PBE was carried out for a relaxed SrLiTl2Ag4 crystal.

* total magnetization: 0.00 μB/f.u.
* final energy: -2.595 eV per atom
* volume: 22.6 A^3/atom

Geometry as CIF:
```
data_SrLiTl2Ag4
_chemical_formula_sum 'Sr3 Li3 Tl6 Ag12'
_cell_length_a 4.9287
_cell_length_b 4.9287
_cell_length_c 25.8318
_cell_angle_alpha 90.00
_cell_angle_beta 90.00
_cell_angle_gamma 120.00
_space_group_name_H-M_alt 'R -3 m'
_space_group_IT_number 166
_space_group_name_Hall '-R 3 2"'
loop_
_atom_site_label
_atom_site_type_symbol
_atom_site_fract_x
_atom_site_fract_y
_atom_site_fract_z
Sr1 Sr 0.0000 0.0000 0.0000
Li1 Li 0.0000 0.0000 0.5000
Tl1 Tl 0.0000 0.0000 0.2478
Ag1 Ag 0.0000 0.0000 0.1323
Ag2 Ag 0.0000 0.0000 0.3990
```

=====

Which value of volume does entry 11 give?
16.9 A^3/atom

=====

Which of these has the highest volume?
Ba8P3I4